CeHoC | PBE-GGA | optimized geometry

Computed properties:
ΔE_f   154 meV per atom
Energy relative to the lowest polymorph listed for this composition   1.10 eV per formula unit
Crystal system   cubic

a b c (Å): 6.1332 6.1332 6.1332
angles (deg): 90.00 90.00 90.00
With the nearest neighbours (Å) after each atom.
Space group F-43m (No. 216)
Symmetry-distinct sites (fractional):
Ce (0.0000, 0.0000, 0.0000) x4  4 C 2.66
Ho (0.0000, 0.0000, 0.5000) x4  4 C 2.66
C (0.2500, 0.2500, 0.2500) x4  4 Ce 2.66, 4 Ho 2.66


Tl2Cd | PBE-GGA | optimized geometry

Computed properties:
ΔE_f   56 meV per atom
Energy relative to the lowest polymorph listed for this composition   0.07 eV per formula unit
Crystal system   hexagonal

a b c (Å): 5.6580 5.6580 6.3058
angles (deg): 90.00 90.00 120.00
With the nearest neighbours (Å) after each atom.
Space group P6_3/mmc (No. 194)
Symmetry-distinct sites (fractional):
Tl (0.0000, 0.0000, 0.0000) x2  2 Tl 3.15
Tl (0.3333, 0.6667, 0.2500) x2  5 Cd 3.15-3.27
Cd (0.3333, 0.6667, 0.7500) x2  5 Tl 3.15-3.27


Mg2CdNi | PBE-GGA | optimized geometry

Computed properties:
ΔE_f   -140 meV per atom
Crystal system   tetragonal

a b c (Å): 3.1151 3.1151 7.3275
angles (deg): 90.00 90.00 90.00
With the nearest neighbours (Å) after each atom.
Space group P4/mmm (No. 123)
Symmetry-distinct sites (fractional):
Mg (0.0000, 0.0000, 0.2032) x2  4 Ni 2.66, 1 Mg 2.98
Cd (0.5000, 0.5000, 0.5000) x1  8 Mg 3.10, 4 Cd 3.12
Ni (0.5000, 0.5000, 0.0000) x1  8 Mg 2.66


HPb3ClO3 | PBE-GGA | optimized geometry

Computed properties:
Crystal system   orthorhombic

a b c (Å): 5.9240 7.1443 15.5373
angles (deg): 90.00 90.00 90.00
With the nearest neighbours (Å) after each atom.
Space group Pmc2_1 (No. 26)
Symmetry-distinct sites (fractional):
H (0.0000, 0.2152, 0.0000) x2  1 O 0.99
H (0.5000, 0.2252, 0.2927) x2  1 O 0.99
Pb (0.0000, 0.0775, 0.8309) x2  3 O 2.30-2.40
Pb (0.0000, 0.3945, 0.4995) x2  3 O 2.25-2.35
Pb (0.0000, 0.4676, 0.2236) x2  4 O 2.42-2.43
Pb (0.5000, 0.2162, 0.6501) x2  4 O 2.42-2.43
Pb (0.5000, 0.2856, 0.1061) x2  3 O 2.31-2.37
Pb (0.5000, 0.4011, 0.8623) x2  3 O 2.23-2.48
Cl (0.0000, 0.0432, 0.1223) x2  1 H 2.26
Cl (0.5000, 0.0296, 0.4157) x2  1 H 2.37
O (0.0000, 0.2957, 0.9482) x2  1 H 0.99
O (0.2498, 0.2846, 0.7695) x4  4 Pb 2.23-2.42
O (0.2499, 0.4665, 0.6030) x4  4 Pb 2.25-2.43
O (0.5000, 0.3390, 0.2568) x2  1 H 0.99


Per-record calculated total energy, eV/atom: -6.425; -1.827; -2.611; -5.049